First-principles (GGA-PBE) data for a relaxed structure of Bi4Pt2Au, as listed in Alexandria via LeMat-Bulk.

Unit cell a=8.3222 b=8.3222 c=8.3276 alpha=119.83 beta=119.83 gamma=60.05
With the nearest neighbours (Å) after each atom.
Positions (direct):
Bi (0.2088, 0.7630, 0.7357)  3 Pt 2.79-2.80, 1 Au 2.83
Bi (0.2360, 0.2360, 0.2631)  3 Pt 2.79, 1 Au 2.83
Bi (0.2361, 0.2361, 0.7089)  3 Pt 2.79, 1 Au 2.83
Bi (0.2370, 0.7912, 0.2643)  3 Pt 2.79-2.80, 1 Au 2.83
Bi (0.7630, 0.2088, 0.7357)  3 Pt 2.79-2.80, 1 Au 2.83
Bi (0.7639, 0.7639, 0.2911)  3 Pt 2.79, 1 Au 2.83
Bi (0.7640, 0.7640, 0.7369)  3 Pt 2.79, 1 Au 2.83
Bi (0.7912, 0.2370, 0.2643)  3 Pt 2.79-2.80, 1 Au 2.83
Pt (0.0000, 0.0000, 0.0000)  6 Bi 2.79-2.80
Pt (0.0000, 0.0000, 0.5000)  6 Bi 2.79
Pt (0.0000, 0.5000, 0.5000)  6 Bi 2.79
Pt (0.5000, 0.0000, 0.5000)  6 Bi 2.79
Au (0.3751, 0.3751, 0.1242)  4 Bi 2.83
Au (0.6249, 0.6249, 0.8758)  4 Bi 2.83

Distance to the lowest polymorph of the same formula, meV/atom: 0
D(E_F), states/eV per atom: 0.41